Entry 1:
This record from the Alexandria database describes a geometry-optimized TiMn2Si structure. The functional is GGA-PBE.

Magnetization: 1.97 μB/cell
E_form (uncorrected): -0.4646 eV per atom
DOS(E_F): 0.53 states/eV/atom

a = 4.0067 Å, b = 4.0067 Å, c = 3.0304 Å
α = 90.00°, β = 90.00°, γ = 90.00°
Last column: nearest neighbours and their distance in Å.
Fractional coordinates of all 4 atoms:
Ti 0.0000 0.0000 0.0000  8 Mn 2.51
Mn 0.0000 0.5000 0.5000  4 Si 2.51, 4 Ti 2.51
Mn 0.5000 0.0000 0.5000  4 Si 2.51, 4 Ti 2.51
Si 0.5000 0.5000 0.0000  8 Mn 2.51



Entry 2:
This record from the Alexandria database describes a geometry-optimized Ti2MnSi structure. The functional is GGA-PBE.

Magnetization: 1.00 μB/cell
E_form (uncorrected): -0.3658 eV per atom
DOS(E_F): 0.67 states/eV/atom

a = 4.2561 Å, b = 4.2561 Å, c = 4.2561 Å
α = 60.00°, β = 60.00°, γ = 60.00°
Last column: nearest neighbours and their distance in Å.
Fractional coordinates of all 4 atoms:
Ti 0.0000 0.0000 0.0000  4 Si 2.61, 4 Ti 2.61
Ti 0.2500 0.2500 0.2500  4 Mn 2.61, 4 Ti 2.61
Mn 0.5000 0.5000 0.5000  4 Ti 2.61, 4 Si 2.61
Si 0.7500 0.7500 0.7500  4 Mn 2.61, 4 Ti 2.61



Entry 3:
This record from the Alexandria database describes a geometry-optimized Ti2MnSi2 structure. The functional is GGA-PBE.

Magnetization: 0.01 μB/cell
E_form (uncorrected): -0.6427 eV per atom
DOS(E_F): 0.68 states/eV/atom

a = 4.8928 Å, b = 4.8928 Å, c = 4.8928 Å
α = 134.99°, β = 118.72°, γ = 79.19°
Last column: nearest neighbours and their distance in Å.
Fractional coordinates of all 5 atoms:
Ti 0.2033 0.2033 0.0000  6 Si 2.60-2.69
Ti 0.7967 0.7967 0.0000  6 Si 2.60-2.69
Mn 0.5000 0.0000 0.5000  4 Si 2.29
Si 0.2360 0.5000 0.7360  2 Mn 2.29, 1 Si 2.35
Si 0.7640 0.5000 0.2640  2 Mn 2.29, 1 Si 2.35



Entry 4:
This record from the Alexandria database describes a geometry-optimized Ti2MnSi structure. The functional is GGA-PBE.

Magnetization: 0.00 μB/cell
E_form (uncorrected): -0.4467 eV per atom
DOS(E_F): 0.89 states/eV/atom

a = 4.0840 Å, b = 4.0840 Å, c = 3.3068 Å
α = 90.00°, β = 90.00°, γ = 90.00°
Last column: nearest neighbours and their distance in Å.
Fractional coordinates of all 4 atoms:
Ti 0.0000 0.5000 0.0000  4 Si 2.63, 4 Mn 2.63, 4 Ti 2.89
Ti 0.5000 0.0000 0.0000  4 Si 2.63, 4 Mn 2.63, 4 Ti 2.89
Mn 0.0000 0.0000 0.5000  8 Ti 2.63, 4 Si 2.89
Si 0.5000 0.5000 0.5000  8 Ti 2.63, 4 Mn 2.89



Entry 5:
This record from the Alexandria database describes a geometry-optimized Ti8MnSi2 structure. The functional is GGA-PBE.

Magnetization: 0.00 μB/cell
E_form (uncorrected): -0.3574 eV per atom
DOS(E_F): 1.02 states/eV/atom

a = 7.4400 Å, b = 7.4400 Å, c = 7.4400 Å
α = 145.06°, β = 132.91°, γ = 59.97°
Last column: nearest neighbours and their distance in Å.
Fractional coordinates of all 11 atoms:
Ti 0.1281 0.3625 0.7656  1 Mn 2.37
Ti 0.1779 0.1779 0.0000  8 Ti 2.76-2.78, 4 Si 2.84-2.97
Ti 0.2604 0.0000 0.2604  2 Mn 2.72, 7 Ti 2.77-2.85, 2 Si 2.79
Ti 0.4032 0.6375 0.7656  1 Mn 2.37
Ti 0.5968 0.3625 0.2344  1 Mn 2.37
Ti 0.7396 0.0000 0.7396  2 Mn 2.72, 7 Ti 2.77-2.85, 2 Si 2.79
Ti 0.8221 0.8221 0.0000  8 Ti 2.76-2.78, 4 Si 2.84-2.97
Ti 0.8719 0.6375 0.2344  1 Mn 2.37
Mn 0.0000 0.5000 0.5000  4 Ti 2.37
Si 0.3141 0.8141 0.5000  12 Ti 2.71-2.97
Si 0.6859 0.1859 0.5000  12 Ti 2.71-2.97



Entry 6:
This record from the Alexandria database describes a geometry-optimized TiMnTlSi2 structure. The functional is GGA-PBE.

Magnetization: 3.09 μB/cell
E_form (uncorrected): 0.5754 eV per atom
DOS(E_F): 1.38 states/eV/atom

a = 4.3596 Å, b = 4.3596 Å, c = 5.1205 Å
α = 90.00°, β = 90.00°, γ = 90.00°
Last column: nearest neighbours and their distance in Å.
Fractional coordinates of all 5 atoms:
Ti 0.0000 0.0000 0.0000  4 Tl 3.08, 8 Si 3.36
Mn 0.5000 0.5000 0.5000  4 Si 2.18
Tl 0.5000 0.5000 0.0000  2 Mn 2.56
Si 0.0000 0.5000 0.5000  2 Mn 2.18
Si 0.5000 0.0000 0.5000  2 Mn 2.18



Entry 7:
This record from the Alexandria database describes a geometry-optimized MnTl2Si structure. The functional is GGA-PBE.

Magnetization: 3.93 μB/cell
Polymorph energy (0 for the lowest one): 0.372 eV per atom
E_form (uncorrected): 0.5832 eV per atom
DOS(E_F): 0.65 states/eV/atom

a = 5.5790 Å, b = 5.5790 Å, c = 5.5790 Å
α = 134.45°, β = 134.45°, γ = 66.38°
Last column: nearest neighbours and their distance in Å.
Fractional coordinates of all 4 atoms:
Mn 0.0000 0.0000 0.0000  8 Tl 3.05-3.18, 4 Si 3.18
Tl 0.5000 0.5000 0.0000  4 Mn 3.05, 4 Tl 3.18, 4 Si 3.18
Tl 0.7500 0.2500 0.5000  4 Si 3.05, 4 Tl 3.18, 4 Mn 3.18
Si 0.2500 0.7500 0.5000  8 Tl 3.05-3.18, 4 Mn 3.18



Entry 8:
This record from the Alexandria database describes a geometry-optimized MnTl2Si structure. The functional is GGA-PBE.

Magnetization: 3.71 μB/cell
Polymorph energy (0 for the lowest one): 0.110 eV per atom
E_form (uncorrected): 0.3203 eV per atom
DOS(E_F): 0.66 states/eV/atom

a = 4.1527 Å, b = 4.1527 Å, c = 7.0640 Å
α = 107.17°, β = 107.17°, γ = 60.28°
Last column: nearest neighbours and their distance in Å.
Fractional coordinates of all 4 atoms:
Mn 0.0000 0.0000 0.0000  3 Si 2.42
Tl 0.5536 0.5536 0.6613  3 Si 3.10-3.11, 3 Mn 3.28-3.29, 3 Tl 3.46-3.47
Tl 0.7627 0.7627 0.2854  3 Mn 3.05-3.06, 3 Si 3.23-3.24
Si 0.3203 0.3203 0.9583  3 Mn 2.42



Which value of magnetization does entry 6 give?
3.09 μB/cell